Here is crystalline Zr3Sn2S8 at its relaxed geometry from Alexandria. Energies are from PBE.

a b c (Å): 6.513 7.503 7.960
angles (deg): 118.12 105.78 90.00
Fractional coordinates of all 13 atoms:
Zr 0.500 0.000 0.000
Zr 0.000 0.262 0.000
Zr 0.000 0.738 0.000
Sn 0.340 0.262 0.524
Sn 0.660 0.738 0.476
S 0.939 0.613 0.226
S 0.061 0.387 0.774
S 0.900 0.106 0.212
S 0.100 0.894 0.788
S 0.601 0.653 0.775
S 0.601 0.122 0.775
S 0.399 0.878 0.225
S 0.399 0.347 0.225

## Properties
The calculation puts the total DFT energy (no corrections) at -81.70 eV per cell. The total moment is 0.000 μB per formula unit.